Entry a
Material: MgNb2Ru2
Method: DFT, GGA-PBE
State: optimized geometry

## Properties
Total moment, μB/f.u.: 0.00
Volume, Å³ per cell: 173.90

```
10
Lattice="7.5540 0.0000 0.0000 0.0000 7.5540 0.0000 0.0000 0.0000 3.0474" Properties=species:S:1:pos:R:3 pbc="T T T"
Mg 0.0000 0.0000 0.0000
Mg 3.7770 3.7770 0.0000
Nb 1.1782 2.5988 1.5237
Nb 2.5988 6.3758 1.5237
Nb 4.9552 1.1782 1.5237
Nb 6.3758 4.9552 1.5237
Ru 1.0736 4.8507 0.0000
Ru 2.7034 1.0736 0.0000
Ru 4.8507 6.4804 0.0000
Ru 6.4804 2.7034 0.0000
```


Entry b
Material: MgNb2Ru2
Method: DFT, GGA-PBE
State: optimized geometry

## Properties
Total moment, μB/f.u.: 0.00
Volume, Å³ per cell: 84.65

```
5
Lattice="1.5591 -8.7793 0.0000 1.5591 8.7793 0.0000 0.0000 0.0000 3.0923" Properties=species:S:1:pos:R:3 pbc="T T T"
Mg 0.0000 0.0000 0.0000
Nb 1.5591 5.5974 0.0000
Nb 1.5591 -5.5974 0.0000
Ru 1.5591 1.7114 1.5462
Ru 1.5591 -1.7114 1.5462
```


Pick entry a: it beats the second-best structure by 10.6 kJ/mol of atoms.